# Nd2MnAgO5, relaxed, DFT PBE with a Hubbard U
data_Nd2MnAgO5
_space_group_name_H-M_alt 'P 1'
_space_group_IT_number 1
_space_group_name_Hall 'P 1'
_cell_length_a 6.780
_cell_length_b 6.780
_cell_length_c 5.741
_cell_angle_alpha 90.00
_cell_angle_beta 90.00
_cell_angle_gamma 90.00
loop_
_atom_site_label
_atom_site_fract_x
_atom_site_fract_y
_atom_site_fract_z
Nd1 0.178 0.322 0.000
Nd2 0.322 0.822 0.000
Nd3 0.678 0.178 0.000
Nd4 0.822 0.678 0.000
Mn1 0.000 0.500 0.500
Mn2 0.500 0.000 0.500
Ag1 0.000 0.000 0.500
Ag2 0.500 0.500 0.500
O1 0.000 0.000 0.000
O2 0.133 0.633 0.256
O3 0.133 0.633 0.744
O4 0.367 0.133 0.256
O5 0.367 0.133 0.744
O6 0.500 0.500 0.000
O7 0.633 0.867 0.256
O8 0.633 0.867 0.744
O9 0.867 0.367 0.256
O10 0.867 0.367 0.744
# Raw total energy in eV/atom: -7.14
# Calculated volume in Å³/f.u.: 132.0
# Calculated density in g cm⁻³: 6.686